DFT (GGA-PBE) results for a relaxed MgZr2Rh crystal.

Lattice parameters (Å, degrees): 5.562 5.562 4.900 63.89 63.89 36.55
Element x y z (fractional)
Mg1 0.750 0.750 0.750
Rh1 0.250 0.250 0.250
Zr1 0.966 0.966 0.034
Zr2 0.534 0.534 0.466

The distance to the lowest polymorph of the same formula is 0.37 eV per formula unit. As for the crystal system: orthorhombic. For the total moment, the calculation gives 0.000 μB per formula unit.